1.
Entry from the Alexandria database: RePtCl2 after structural relaxation (PBE).

Properties
* ΔE to the lowest computed polymorph: 131 meV per atom
* D(E_F): 2.6 states/eV/f.u.
* ΔE_f (raw): 0.15 eV per atom

```
data_RePtCl2
_space_group_name_H-M_alt 'P 1'
_space_group_IT_number 1
_space_group_name_Hall 'P 1'
_cell_length_a 9.1297
_cell_length_b 9.1297
_cell_length_c 9.1297
_cell_angle_alpha 19.87
_cell_angle_beta 19.87
_cell_angle_gamma 19.87
loop_
_atom_site_label
_atom_site_type_symbol
_atom_site_fract_x
_atom_site_fract_y
_atom_site_fract_z
Re1 Re 0.0000 0.0000 0.0000
Pt1 Pt 0.7364 0.7364 0.7364
Cl1 Cl 0.2670 0.2670 0.2670
Cl2 Cl 0.4722 0.4722 0.4722
```

***

2.
Entry from the Alexandria database: CaTl2RhO6 after structural relaxation (PBE).

Properties
* D(E_F): 4.9 states/eV/f.u.
* ΔE_f (raw): -1.14 eV per atom

```
data_CaTl2RhO6
_space_group_name_H-M_alt 'P 1'
_space_group_IT_number 1
_space_group_name_Hall 'P 1'
_cell_length_a 5.9247
_cell_length_b 5.9247
_cell_length_c 5.9247
_cell_angle_alpha 57.48
_cell_angle_beta 57.48
_cell_angle_gamma 57.48
loop_
_atom_site_label
_atom_site_type_symbol
_atom_site_fract_x
_atom_site_fract_y
_atom_site_fract_z
Ca1 Ca 0.0000 0.0000 0.0000
Tl1 Tl 0.2193 0.2193 0.2193
Tl2 Tl 0.7313 0.7313 0.7313
Rh1 Rh 0.5111 0.5111 0.5111
O1 O 0.1622 0.3959 0.7580
O2 O 0.3122 0.8610 0.6110
O3 O 0.3959 0.7580 0.1622
O4 O 0.6110 0.3122 0.8610
O5 O 0.7580 0.1622 0.3959
O6 O 0.8610 0.6110 0.3122
```

***

3.
Entry from the Alexandria database: AsOsCl2 after structural relaxation (PBE).

Properties
* ΔE to the lowest computed polymorph: 442 meV per atom
* D(E_F): 1.9 states/eV/f.u.
* ΔE_f (raw): 0.37 eV per atom

```
data_AsOsCl2
_space_group_name_H-M_alt 'P 1'
_space_group_IT_number 1
_space_group_name_Hall 'P 1'
_cell_length_a 6.4872
_cell_length_b 6.4872
_cell_length_c 6.4872
_cell_angle_alpha 152.91
_cell_angle_beta 137.95
_cell_angle_gamma 50.74
loop_
_atom_site_label
_atom_site_type_symbol
_atom_site_fract_x
_atom_site_fract_y
_atom_site_fract_z
As1 As 0.0000 0.0000 0.0000
Os1 Os 0.8400 0.3400 0.5000
Cl1 Cl 0.3445 0.8445 0.5000
Cl2 Cl 0.6579 0.6579 0.0000
```

***

4.
Entry from the Alexandria database: Pu2MnCd after structural relaxation (PBE).

Properties
* energy of formation from the pure elements: 346.2 meV per atom
* ΔE to the lowest computed polymorph: 340 meV per atom
* D(E_F): 12.5 states/eV/f.u.

```
data_Pu2MnCd
_space_group_name_H-M_alt 'P 1'
_space_group_IT_number 1
_space_group_name_Hall 'P 1'
_cell_length_a 10.7845
_cell_length_b 10.7845
_cell_length_c 10.7845
_cell_angle_alpha 17.02
_cell_angle_beta 17.02
_cell_angle_gamma 17.02
loop_
_atom_site_label
_atom_site_type_symbol
_atom_site_fract_x
_atom_site_fract_y
_atom_site_fract_z
Pu1 Pu 0.1014 0.1014 0.1014
Pu2 Pu 0.8986 0.8986 0.8986
Mn1 Mn 0.5000 0.5000 0.5000
Cd1 Cd 0.0000 0.0000 0.0000
```